Sm2HgO4: optimized geometry, PBE-GGA.

a b c (Å): 7.1514 7.1514 10.2240
angles (deg): 120.74 120.74 30.27
Closest atoms and distances in Å follow each position.
Atoms (fractional coordinates):
Sm 0.8397 0.8397 0.7005  6 O 2.28-2.51
Hg 0.1131 0.1131 0.6600  2 O 2.01-2.02
Hg 0.8869 0.8869 0.3400  2 O 2.01-2.02
O 0.2024 0.2024 0.5552  1 Hg 2.02
Sm 0.3806 0.3806 0.0405  7 O 2.30-2.54
O 0.7976 0.7976 0.4448  1 Hg 2.02
O 0.5813 0.5813 0.1533  4 Sm 2.28-2.37
Sm 0.1603 0.1603 0.2995  6 O 2.28-2.51
O 0.4187 0.4187 0.8467  4 Sm 2.28-2.37
O 0.7688 0.7688 0.8868  4 Sm 2.40-2.56
O 0.9649 0.9649 0.2202  1 Hg 2.01
O 0.2312 0.2312 0.1132  4 Sm 2.40-2.56
Sm 0.6194 0.6194 0.9595  7 O 2.30-2.54
O 0.0351 0.0351 0.7798  1 Hg 2.01

Computed properties:
* SG: C2/m
* E above lowest polymorph: 0 meV/atom
* total DFT energy (no corrections): -6.798 eV/atom